Density functional theory data (GGA-PBE) for a geometry-optimized ZnTcB4 structure.

abc: 2.9761 2.9761 7.0621
angles: 90.00 90.00 120.00
Sites, in units of the cell vectors:
1 B 0.3333 0.6667 0.2415
2 B 0.3333 0.6667 0.7585
3 B 0.6667 0.3333 0.2415
4 Tc 0.0000 0.0000 0.0000
5 Zn 0.0000 0.0000 0.5000
6 B 0.6667 0.3333 0.7585

Calculated values
symmetry	P6/mmm, No. 191
final energy	-6.2552	eV per atom
energy above the most stable polymorph in this dataset	62	meV/atom